No. 1
An optimized crystal structure of CrCd2Os. Source: Alexandria via LeMat-Bulk, functional PBE-GGA.

Results
Formation energy from the elements (eV/atom): 0.52
Fermi-level density of states (states/eV/cell): 3.23
Volume (Å³ per atom): 17.4
Crystal system: monoclinic
Total moment (μB/f.u.): 2.031
Energy above the lowest structure with this stoichiometry (meV per atom): 293

a b c (Å): 5.0903 5.0903 5.0081
angles (deg): 75.50 75.50 33.66
Closest atoms and distances in Å follow each position.
Positions (direct):
Cd 0.9889 0.9889 0.0035  5 Cd 2.84-3.01, 4 Cr 2.84-3.01, 3 Os 2.97-2.99
Cd 0.7613 0.7613 0.7482  5 Cd 2.84-3.01, 4 Os 2.86-2.99, 3 Cr 2.97-3.00
Cr 0.5242 0.5242 0.4668  2 Os 2.43
Os 0.2255 0.2255 0.2816  2 Cr 2.43

---

No. 2
An optimized crystal structure of CrCd2Os. Source: Alexandria via LeMat-Bulk, functional PBE-GGA.

Results
Formation energy from the elements (eV/atom): 0.71
Fermi-level density of states (states/eV/cell): 4.32
Volume (Å³ per atom): 17.6
Crystal system: tetragonal
Total moment (μB/f.u.): 4.653
Energy above the lowest structure with this stoichiometry (meV per atom): 484

a b c (Å): 2.8775 2.8775 8.5046
angles (deg): 90.00 90.00 90.00
Closest atoms and distances in Å follow each position.
Positions (direct):
Cd 0.0000 0.0000 0.9978  4 Cd 2.88, 4 Os 2.93, 4 Cr 2.96
Cd 0.0000 0.0000 0.5022  4 Cd 2.88, 4 Os 2.93, 4 Cr 2.96
Cr 0.5000 0.5000 0.2500  4 Cr 2.88, 8 Cd 2.96
Os 0.5000 0.5000 0.7500  4 Os 2.88, 8 Cd 2.93

---

No. 3
An optimized crystal structure of CrCd2Os. Source: Alexandria via LeMat-Bulk, functional PBE-GGA.

Results
Formation energy from the elements (eV/atom): 0.60
Fermi-level density of states (states/eV/cell): 4.56
Volume (Å³ per atom): 17.2
Crystal system: tetragonal
Total moment (μB/f.u.): 3.358
Energy above the lowest structure with this stoichiometry (meV per atom): 376

a b c (Å): 3.9901 3.9901 4.3092
angles (deg): 90.00 90.00 90.00
Closest atoms and distances in Å follow each position.
Positions (direct):
Cd 0.0000 0.0000 0.0000  4 Cd 2.82, 4 Cr 2.94, 4 Os 2.94
Cd 0.5000 0.5000 0.0000  4 Cd 2.82, 4 Cr 2.94, 4 Os 2.94
Cr 0.5000 0.0000 0.5000  4 Os 2.82, 8 Cd 2.94
Os 0.0000 0.5000 0.5000  4 Cr 2.82, 8 Cd 2.94

---

No. 4
An optimized crystal structure of Cr2CdOs. Source: Alexandria via LeMat-Bulk, functional PBE-GGA.

Results
Formation energy from the elements (eV/atom): 0.57
Fermi-level density of states (states/eV/cell): 5.40
Volume (Å³ per atom): 15.2
Crystal system: tetragonal
Total moment (μB/f.u.): 5.017

a b c (Å): 4.5617 4.5617 4.5617
angles (deg): 125.52 125.52 80.67
Closest atoms and distances in Å follow each position.
Positions (direct):
Cd 0.7500 0.2500 0.5000  8 Cr 2.72, 4 Os 2.95
Cr 0.0000 0.0000 0.0000  4 Cd 2.72, 4 Os 2.72, 4 Cr 2.95
Cr 0.5000 0.5000 0.0000  4 Cd 2.72, 4 Os 2.72, 4 Cr 2.95
Os 0.2500 0.7500 0.5000  8 Cr 2.72, 4 Cd 2.95